The following is a PBE calculation of a relaxed structure of Ho2ScSn2Rh5, from Alexandria via LeMat-Bulk.

Calculated density, g/cm³: 9.751

a = 10.1488 Å, b = 10.1488 Å, c = 3.7257 Å
α = 90.00°, β = 90.00°, γ = 90.00°
Space group P4/mbm (No. 127)
Symmetry-distinct sites (fractional):
Ho: 0.1691 0.3309 0.0000 [4 per cell]
Sc: 0.0000 0.0000 0.0000 [2 per cell]
Sn: 0.1299 0.6299 0.0000 [4 per cell]
Rh: 0.0000 0.5000 0.5000 [2 per cell]
Rh: 0.0605 0.7994 0.5000 [8 per cell]


The following is a PBE calculation of a relaxed structure of HoScSnRh, from Alexandria via LeMat-Bulk.

Calculated density, g/cm³: 8.355

a = 7.0004 Å, b = 7.0004 Å, c = 7.0004 Å
α = 90.00°, β = 90.00°, γ = 90.00°
Space group F-43m (No. 216)
Symmetry-distinct sites (fractional):
Ho: 0.0000 0.0000 0.0000 [4 per cell]
Sc: 0.0000 0.0000 0.5000 [4 per cell]
Sn: 0.2500 0.2500 0.2500 [4 per cell]
Rh: 0.2500 0.2500 0.7500 [4 per cell]


The following is a PBE calculation of a relaxed structure of HoSc2SnRh4, from Alexandria via LeMat-Bulk.

Calculated density, g/cm³: 9.281

a = 4.6227 Å, b = 4.6227 Å, c = 22.7715 Å
α = 90.00°, β = 90.00°, γ = 120.00°
Space group R-3m (No. 166, hexagonal axes)
Symmetry-distinct sites (fractional):
Ho: 0.0000 0.0000 0.0000 [3 per cell]
Sc: 0.0000 0.0000 0.2459 [6 per cell]
Sn: 0.0000 0.0000 0.5000 [3 per cell]
Rh: 0.0000 0.0000 0.1253 [6 per cell]
Rh: 0.0000 0.0000 0.3773 [6 per cell]


ΔH_f (0 K) for the records above, in order: -659 -665 -897 meV per atom
M_tot for the records above, in order: 0.00 0.00 0.00 μB per formula unit
E for the records above, in order: -133.7 -99.7 -173.5 eV for the cell shown